A PBEsol-optimized structure of EuOsO3, computed with SCAN.

Computed properties:
formation energy without anion corrections	-1.822	eV per atom

Lattice parameters (Å, degrees): 3.935 3.935 3.935 90.00 90.00 90.00
Space group Pm-3m (No. 221)
Inequivalent atoms, fractional coordinates:
Eu: 0.000 0.000 0.000
Os: 0.500 0.500 0.500
O: 0.000 0.500 0.500